Ac9Pt4Au2 (PBE, optimized geometry); E_form = -0.834 eV/atom; density of states at the Fermi level = 20.75 states/eV per cell; magnetization = 0.0000 μB per atom; total DFT energy (no corrections) = -5.347 eV per atom
1.0
7.7526 0.0000 0.0000
-3.8763 6.7140 0.0000
0.0000 0.0000 21.3685
Ac Pt Au
18 8 4
direct
0.0000 0.3327 0.2500
0.0000 0.6673 0.7500
0.0154 0.3599 0.5824
0.0154 0.6555 0.0824
0.3327 0.0000 0.2500
0.3327 0.3327 0.7500
0.3445 0.3599 0.0824
0.3445 0.9846 0.5824
0.3599 0.0154 0.9176
0.3599 0.3445 0.4176
0.6401 0.6555 0.5824
0.6401 0.9846 0.0824
0.6555 0.0154 0.4176
0.6555 0.6401 0.9176
0.6673 0.0000 0.7500
0.6673 0.6673 0.2500
0.9846 0.3445 0.9176
0.9846 0.6401 0.4176
0.3333 0.6667 0.1729
0.3333 0.6667 0.4935
0.3333 0.6667 0.6729
0.3333 0.6667 0.9935
0.6667 0.3333 0.0065
0.6667 0.3333 0.3271
0.6667 0.3333 0.5065
0.6667 0.3333 0.8271
0.0000 0.0000 0.1598
0.0000 0.0000 0.3402
0.0000 0.0000 0.6598
0.0000 0.0000 0.8402


BaScW2 (PBE, optimized geometry); E_form = 0.822 eV/atom; density of states at the Fermi level = 3.14 states/eV per cell; magnetization = 0.0000 μB per atom; total DFT energy (no corrections) = -7.718 eV per atom
1.0
2.9591 0.0000 0.0000
0.0000 4.7206 0.0000
-0.8320 0.0000 7.1000
Ba Sc W
1 1 2
direct
0.0000 0.0000 0.0000
0.5000 0.0000 0.5000
0.0368 0.5000 0.3356
0.9632 0.5000 0.6644


BaLa2Sb (PBE, optimized geometry); density of states at the Fermi level = 4.68 states/eV per cell; magnetization = 0.2126 μB per atom; total DFT energy (no corrections) = -4.419 eV per atom; formation energy from raw total energies = -444 meV per atom
1.0
5.3119 0.0000 0.0000
0.0000 2.2290 6.6106
0.0000 -2.2290 6.6106
Ba La Sb
1 2 1
direct
0.0000 0.0000 0.0000
0.0000 0.2845 0.2845
0.5000 0.7089 0.7089
0.5000 0.4142 0.4142


Cs2MgCl7 (PBE, optimized geometry); density of states at the Fermi level = 8.37 states/eV per cell; magnetization = 0.1000 μB per atom; total DFT energy (no corrections) = -2.870 eV per atom; formation energy from raw total energies = -1247 meV per atom
1.0
-4.0814 4.0814 5.0835
4.0814 -4.0814 5.0835
4.0814 4.0814 -5.0835
Cs Mg Cl
2 1 7
direct
0.2500 0.7500 0.5000
0.7500 0.2500 0.5000
0.0000 0.0000 0.0000
0.2082 0.2082 0.4165
0.2082 0.7917 0.0000
0.2781 0.2781 0.0000
0.5000 0.5000 0.0000
0.7219 0.7219 0.0000
0.7917 0.2082 0.0000
0.7917 0.7917 0.5835


LaDy2Si (PBE, optimized geometry); density of states at the Fermi level = 5.44 states/eV per cell; magnetization = 0.0001 μB per atom; total DFT energy (no corrections) = -5.069 eV per atom; formation energy from raw total energies = -180 meV per atom
1.0
1.9044 1.0995 9.7730
-1.9044 1.0995 9.7730
0.0000 -2.1990 9.7730
La Dy Si
1 2 1
direct
0.0000 0.0000 0.0000
0.5592 0.5592 0.5592
0.7704 0.7704 0.7704
0.1645 0.1645 0.1645


AcLa2PrTm5 (PBE, optimized geometry); E_form = 0.241 eV/atom; density of states at the Fermi level = 20.80 states/eV per cell; magnetization = 0.0000 μB per atom; total DFT energy (no corrections) = -4.326 eV per atom
1.0
-4.3836 4.3836 7.9526
4.3836 -4.3836 7.9526
4.3836 4.3836 -7.9526
Ac La Pr Tm
2 4 2 10
direct
0.2500 0.2500 0.0000
0.7500 0.7500 0.0000
0.1171 0.6171 0.7342
0.3829 0.1171 0.5000
0.6171 0.8829 0.5000
0.8829 0.3829 0.2658
0.2500 0.7500 0.5000
0.7500 0.2500 0.5000
0.0000 0.0000 0.0000
0.0756 0.1539 0.5000
0.1539 0.6539 0.0783
0.3461 0.4244 0.5000
0.4244 0.9244 0.0783
0.5000 0.5000 0.0000
0.5756 0.0756 0.9217
0.6539 0.5756 0.5000
0.8461 0.3461 0.9217
0.9244 0.8461 0.5000